(1)
! CuNiPb2, relaxed, DFT GGA-PBE; values from VASP
&SYSTEM
  ibrav = 0, nat = 4, ntyp = 3
/
ATOMIC_SPECIES
Cu 63.55 Cu.upf
Ni 58.69 Ni.upf
Pb 207.20 Pb.upf
ATOMIC_POSITIONS crystal
Cu 0.000 0.000 0.000
Ni 0.142 0.500 0.289
Pb 0.429 0.500 0.857
Pb 0.711 0.000 0.428
CELL_PARAMETERS angstrom
3.733 0.000 0.000
0.000 4.130 0.000
-1.863 0.000 5.134
! N(E_F) = 2.0 states/eV per cell
! Formation energy = 150.1 meV/atom
! VASP energy = -4.17 eV/atom

(2)
! CuNiPb2, relaxed, DFT GGA-PBE; values from VASP
&SYSTEM
  ibrav = 0, nat = 16, ntyp = 3
/
ATOMIC_SPECIES
Cu 63.55 Cu.upf
Ni 58.69 Ni.upf
Pb 207.20 Pb.upf
ATOMIC_POSITIONS crystal
Cu 0.000 0.000 0.000
Cu 0.000 0.500 0.250
Cu 0.500 0.000 0.750
Cu 0.500 0.500 0.500
Ni 0.000 0.000 0.500
Ni 0.000 0.500 0.750
Ni 0.500 0.000 0.250
Ni 0.500 0.500 0.000
Pb 0.239 0.250 0.625
Pb 0.250 0.739 0.875
Pb 0.250 0.761 0.375
Pb 0.261 0.250 0.125
Pb 0.739 0.750 0.125
Pb 0.750 0.239 0.375
Pb 0.750 0.261 0.875
Pb 0.761 0.750 0.625
CELL_PARAMETERS angstrom
7.263 0.000 0.000
0.000 7.263 0.000
0.000 0.000 6.660
! N(E_F) = 9.9 states/eV per cell
! Formation energy = 437.5 meV/atom
! VASP energy = -3.89 eV/atom

(3)
! PrCuNiPb, relaxed, DFT GGA-PBE; values from VASP
&SYSTEM
  ibrav = 0, nat = 16, ntyp = 4
/
ATOMIC_SPECIES
Pr 140.91 Pr.upf
Cu 63.55 Cu.upf
Ni 58.69 Ni.upf
Pb 207.20 Pb.upf
ATOMIC_POSITIONS crystal
Pr 0.000 0.000 0.000
Pr 0.000 0.500 0.500
Pr 0.500 0.000 0.500
Pr 0.500 0.500 0.000
Cu 0.250 0.250 0.250
Cu 0.250 0.750 0.750
Cu 0.750 0.250 0.750
Cu 0.750 0.750 0.250
Ni 0.250 0.250 0.750
Ni 0.250 0.750 0.250
Ni 0.750 0.250 0.250
Ni 0.750 0.750 0.750
Pb 0.000 0.000 0.500
Pb 0.000 0.500 0.000
Pb 0.500 0.000 0.000
Pb 0.500 0.500 0.500
CELL_PARAMETERS angstrom
6.833 0.000 0.000
0.000 6.833 0.000
0.000 0.000 6.833
! N(E_F) = 12.2 states/eV per cell
! Formation energy = -179.7 meV/atom
! VASP energy = -4.77 eV/atom

(4)
! PuCuNiPb, relaxed, DFT GGA-PBE; values from VASP
&SYSTEM
  ibrav = 0, nat = 16, ntyp = 4
/
ATOMIC_SPECIES
Pu 244.00 Pu.upf
Cu 63.55 Cu.upf
Ni 58.69 Ni.upf
Pb 207.20 Pb.upf
ATOMIC_POSITIONS crystal
Pu 0.000 0.000 0.000
Pu 0.000 0.500 0.500
Pu 0.500 0.000 0.500
Pu 0.500 0.500 0.000
Cu 0.250 0.250 0.250
Cu 0.250 0.750 0.750
Cu 0.750 0.250 0.750
Cu 0.750 0.750 0.250
Ni 0.250 0.250 0.750
Ni 0.250 0.750 0.250
Ni 0.750 0.250 0.250
Ni 0.750 0.750 0.750
Pb 0.000 0.000 0.500
Pb 0.000 0.500 0.000
Pb 0.500 0.000 0.000
Pb 0.500 0.500 0.500
CELL_PARAMETERS angstrom
6.715 0.000 0.000
0.000 6.715 0.000
0.000 0.000 6.715
! N(E_F) = 52.2 states/eV per cell
! Formation energy = 33.9 meV/atom
! VASP energy = -6.95 eV/atom

(5)
! CuReNi2Pb, relaxed, DFT GGA-PBE; values from VASP
&SYSTEM
  ibrav = 0, nat = 5, ntyp = 4
/
ATOMIC_SPECIES
Cu 63.55 Cu.upf
Re 186.21 Re.upf
Ni 58.69 Ni.upf
Pb 207.20 Pb.upf
ATOMIC_POSITIONS crystal
Cu 0.000 0.000 0.000
Re 0.500 0.500 0.500
Ni 0.000 0.500 0.000
Ni 0.500 0.000 0.000
Pb 0.000 0.000 0.500
CELL_PARAMETERS angstrom
4.322 0.000 0.000
0.000 4.322 0.000
0.000 0.000 4.696
! N(E_F) = 5.6 states/eV per cell
! Formation energy = 1505.8 meV/atom
! VASP energy = -4.86 eV/atom

(6)
! CuNiRhPb, relaxed, DFT GGA-PBE; values from VASP
&SYSTEM
  ibrav = 0, nat = 16, ntyp = 4
/
ATOMIC_SPECIES
Cu 63.55 Cu.upf
Ni 58.69 Ni.upf
Rh 102.91 Rh.upf
Pb 207.20 Pb.upf
ATOMIC_POSITIONS crystal
Cu 0.000 0.000 0.000
Cu 0.000 0.500 0.500
Cu 0.500 0.000 0.500
Cu 0.500 0.500 0.000
Ni 0.250 0.250 0.750
Ni 0.250 0.750 0.250
Ni 0.750 0.250 0.250
Ni 0.750 0.750 0.750
Rh 0.250 0.250 0.250
Rh 0.250 0.750 0.750
Rh 0.750 0.250 0.750
Rh 0.750 0.750 0.250
Pb 0.000 0.000 0.500
Pb 0.000 0.500 0.000
Pb 0.500 0.000 0.000
Pb 0.500 0.500 0.500
CELL_PARAMETERS angstrom
6.248 0.000 0.000
0.000 6.248 0.000
0.000 0.000 6.248
! N(E_F) = 13.5 states/eV per cell
! Formation energy = 109.3 meV/atom
! VASP energy = -5.13 eV/atom

(7)
! ScCuNiPb, relaxed, DFT GGA-PBE; values from VASP
&SYSTEM
  ibrav = 0, nat = 16, ntyp = 4
/
ATOMIC_SPECIES
Sc 44.96 Sc.upf
Cu 63.55 Cu.upf
Ni 58.69 Ni.upf
Pb 207.20 Pb.upf
ATOMIC_POSITIONS crystal
Sc 0.000 0.000 0.000
Sc 0.000 0.500 0.500
Sc 0.500 0.000 0.500
Sc 0.500 0.500 0.000
Cu 0.250 0.250 0.750
Cu 0.250 0.750 0.250
Cu 0.750 0.250 0.250
Cu 0.750 0.750 0.750
Ni 0.250 0.250 0.250
Ni 0.250 0.750 0.750
Ni 0.750 0.250 0.750
Ni 0.750 0.750 0.250
Pb 0.000 0.000 0.500
Pb 0.000 0.500 0.000
Pb 0.500 0.000 0.000
Pb 0.500 0.500 0.500
CELL_PARAMETERS angstrom
6.453 0.000 0.000
0.000 6.453 0.000
0.000 0.000 6.453
! N(E_F) = 11.0 states/eV per cell
! Formation energy = -212.5 meV/atom
! VASP energy = -5.19 eV/atom

(8)
! ScCuNiPb2, relaxed, DFT GGA-PBE; values from VASP
&SYSTEM
  ibrav = 0, nat = 5, ntyp = 4
/
ATOMIC_SPECIES
Sc 44.96 Sc.upf
Cu 63.55 Cu.upf
Ni 58.69 Ni.upf
Pb 207.20 Pb.upf
ATOMIC_POSITIONS crystal
Sc 0.000 0.000 0.000
Cu 0.500 0.500 0.000
Ni 0.500 0.500 0.500
Pb 0.000 0.500 0.500
Pb 0.500 0.000 0.500
CELL_PARAMETERS angstrom
4.970 0.000 0.000
0.000 4.970 0.000
0.000 0.000 4.606
! N(E_F) = 2.7 states/eV per cell
! Formation energy = 264.5 meV/atom
! VASP energy = -4.46 eV/atom

(9)
! Cu3NiPbSe4, relaxed, DFT GGA-PBE; values from VASP
&SYSTEM
  ibrav = 0, nat = 9, ntyp = 4
/
ATOMIC_SPECIES
Cu 63.55 Cu.upf
Ni 58.69 Ni.upf
Pb 207.20 Pb.upf
Se 78.96 Se.upf
ATOMIC_POSITIONS crystal
Cu 0.000 0.000 0.500
Cu 0.000 0.500 0.000
Cu 0.500 0.000 0.000
Ni 0.000 0.000 0.000
Pb 0.500 0.500 0.500
Se 0.227 0.227 0.227
Se 0.227 0.773 0.773
Se 0.773 0.227 0.773
Se 0.773 0.773 0.227
CELL_PARAMETERS angstrom
5.920 0.000 0.000
0.000 5.920 0.000
0.000 0.000 5.920
! N(E_F) = 7.7 states/eV per cell
! ΔE_f (raw) = -1.263 eV/f.u.
! VASP energy = -4.11 eV/atom

(10)
! TiCuNi2Pb, relaxed, DFT GGA-PBE; values from VASP
&SYSTEM
  ibrav = 0, nat = 5, ntyp = 4
/
ATOMIC_SPECIES
Ti 47.87 Ti.upf
Cu 63.55 Cu.upf
Ni 58.69 Ni.upf
Pb 207.20 Pb.upf
ATOMIC_POSITIONS crystal
Ti 0.000 0.000 0.000
Cu 0.500 0.500 0.500
Ni 0.000 0.500 0.000
Ni 0.500 0.000 0.000
Pb 0.000 0.000 0.500
CELL_PARAMETERS angstrom
4.383 0.000 0.000
0.000 4.383 0.000
0.000 0.000 5.326
! N(E_F) = 3.5 states/eV per cell
! Formation energy = 1040.4 meV/atom
! VASP energy = -4.41 eV/atom

(11)
! TmCuNiPb, relaxed, DFT GGA-PBE; values from VASP
&SYSTEM
  ibrav = 0, nat = 16, ntyp = 4
/
ATOMIC_SPECIES
Tm 168.93 Tm.upf
Cu 63.55 Cu.upf
Ni 58.69 Ni.upf
Pb 207.20 Pb.upf
ATOMIC_POSITIONS crystal
Tm 0.000 0.000 0.000
Tm 0.000 0.500 0.500
Tm 0.500 0.000 0.500
Tm 0.500 0.500 0.000
Cu 0.250 0.250 0.250
Cu 0.250 0.750 0.750
Cu 0.750 0.250 0.750
Cu 0.750 0.750 0.250
Ni 0.250 0.250 0.750
Ni 0.250 0.750 0.250
Ni 0.750 0.250 0.250
Ni 0.750 0.750 0.750
Pb 0.000 0.000 0.500
Pb 0.000 0.500 0.000
Pb 0.500 0.000 0.000
Pb 0.500 0.500 0.500
CELL_PARAMETERS angstrom
6.609 0.000 0.000
0.000 6.609 0.000
0.000 0.000 6.609
! N(E_F) = 12.5 states/eV per cell
! Formation energy = -224.5 meV/atom
! VASP energy = -4.74 eV/atom

(12)
! YCuNiPb, relaxed, DFT GGA-PBE; values from VASP
&SYSTEM
  ibrav = 0, nat = 16, ntyp = 4
/
ATOMIC_SPECIES
Y 88.91 Y.upf
Cu 63.55 Cu.upf
Ni 58.69 Ni.upf
Pb 207.20 Pb.upf
ATOMIC_POSITIONS crystal
Y 0.000 0.000 0.000
Y 0.000 0.500 0.500
Y 0.500 0.000 0.500
Y 0.500 0.500 0.000
Cu 0.250 0.250 0.250
Cu 0.250 0.750 0.750
Cu 0.750 0.250 0.750
Cu 0.750 0.750 0.250
Ni 0.250 0.250 0.750
Ni 0.250 0.750 0.250
Ni 0.750 0.250 0.250
Ni 0.750 0.750 0.750
Pb 0.000 0.000 0.500
Pb 0.000 0.500 0.000
Pb 0.500 0.000 0.000
Pb 0.500 0.500 0.500
CELL_PARAMETERS angstrom
6.675 0.000 0.000
0.000 6.675 0.000
0.000 0.000 6.675
! N(E_F) = 11.6 states/eV per cell
! Formation energy = -221.8 meV/atom
! VASP energy = -5.23 eV/atom

(13)
! Cu14NiPd, relaxed, DFT GGA-PBE; values from VASP
&SYSTEM
  ibrav = 0, nat = 16, ntyp = 3
/
ATOMIC_SPECIES
Cu 63.55 Cu.upf
Ni 58.69 Ni.upf
Pd 106.42 Pd.upf
ATOMIC_POSITIONS crystal
Cu 0.000 0.000 0.000
Cu 0.000 0.001 0.497
Cu 0.000 0.497 0.001
Cu 0.000 0.500 0.500
Cu 0.246 0.667 0.667
Cu 0.247 0.173 0.664
Cu 0.247 0.664 0.173
Cu 0.252 0.168 0.168
Cu 0.500 0.340 0.837
Cu 0.500 0.837 0.340
Cu 0.748 0.168 0.168
Cu 0.753 0.173 0.664
Cu 0.753 0.664 0.173
Cu 0.754 0.667 0.667
Ni 0.500 0.339 0.339
Pd 0.500 0.839 0.839
CELL_PARAMETERS angstrom
8.410 0.000 0.000
0.000 2.609 4.416
0.000 -2.609 4.416
! N(E_F) = 9.8 states/eV per cell
! Formation energy = -1.7 meV/atom
! VASP energy = -4.27 eV/atom

(14)
! CuNi2Pd4, relaxed, DFT GGA-PBE; values from VASP
&SYSTEM
  ibrav = 0, nat = 14, ntyp = 3
/
ATOMIC_SPECIES
Cu 63.55 Cu.upf
Ni 58.69 Ni.upf
Pd 106.42 Pd.upf
ATOMIC_POSITIONS crystal
Cu 0.000 0.000 0.000
Cu 0.217 0.723 0.572
Ni 0.081 0.587 0.862
Ni 0.358 0.856 0.279
Ni 0.434 0.453 0.138
Ni 0.570 0.581 0.859
Pd 0.150 0.168 0.728
Pd 0.288 0.294 0.417
Pd 0.489 0.997 0.996
Pd 0.636 0.152 0.707
Pd 0.718 0.725 0.581
Pd 0.791 0.302 0.426
Pd 0.860 0.861 0.283
Pd 0.939 0.442 0.132
CELL_PARAMETERS angstrom
5.402 0.000 0.000
-1.356 5.888 0.000
-2.623 -2.485 6.083
! N(E_F) = 21.6 states/eV per cell
! Formation energy = 13.7 meV/atom
! VASP energy = -5.19 eV/atom